(1)
Compound: ScCrCo
Source: Alexandria via LeMat-Bulk
Functional: PBE
Structure: relaxed

Lattice parameters (Å, degrees): 2.851 2.851 10.672 90.00 90.00 90.00
Space group I4mm (No. 107)
Unique sites:
1 Sc 0.000 0.000 0.000 x2
2 Cr 0.000 0.000 0.306 x2
3 Co 0.000 0.000 0.696 x2

energy of formation = 92 meV/atom
D(E_F) = 1.01 states/eV per atom
density = 5.967 g/cm3
DFT total energy = -7.595 eV per atom
magnetization = 0.00 μB per formula unit

(2)
Compound: ScCr4Co
Source: Alexandria via LeMat-Bulk
Functional: PBE
Structure: relaxed

Lattice parameters (Å, degrees): 6.824 6.824 6.824 90.00 90.00 90.00
Space group F-43m (No. 216)
Unique sites:
1 Sc 0.000 0.000 0.000 x4
2 Cr 0.126 0.126 0.374 x16
3 Co 0.250 0.250 0.750 x4

energy of formation = 243 meV/atom
D(E_F) = 1.58 states/eV per atom
density = 6.518 g/cm3
DFT total energy = -8.412 eV per atom
magnetization = 0.96 μB per formula unit

Q: What is the formula in the first record?
A: ScCrCo

Q: Look up the density of the first one.
A: 5.967 g/cm3

Q: Look up the DFT total energy of the first one.
A: -7.595 eV per atom